VASP calculation (PBE+U) on a geometry-optimized Li3P3WO11 structure.

Cell lengths 6.386, 8.308, 8.256 Å; angles 108.95, 96.62, 98.91 degrees
Element x y z (fractional)
1 O 0.577 0.713 0.719
2 O 0.895 0.225 0.434
3 O 0.079 0.178 0.688
4 O 0.451 0.458 0.815
5 O 0.105 0.775 0.566
6 O 0.652 0.918 0.148
7 O 0.873 0.427 0.740
8 O 0.745 0.534 0.464
9 O 0.896 0.725 0.990
10 O 0.423 0.287 0.281
11 O 0.127 0.573 0.260
12 O 0.104 0.275 0.010
13 O 0.227 0.681 0.829
14 O 0.921 0.822 0.312
15 O 0.670 0.118 0.630
16 O 0.935 0.960 0.824
17 O 0.773 0.319 0.171
18 O 0.549 0.542 0.185
19 O 0.065 0.040 0.176
20 O 0.255 0.466 0.536
21 O 0.330 0.882 0.370
22 O 0.348 0.082 0.852
23 Li 0.280 0.514 0.022
24 Li 0.407 0.028 0.214
25 Li 0.593 0.972 0.786
26 Li 0.411 0.208 0.673
27 Li 0.720 0.486 0.978
28 Li 0.589 0.792 0.327
29 P 0.622 0.423 0.280
30 P 0.123 0.114 0.854
31 P 0.877 0.886 0.146
32 P 0.135 0.760 0.382
33 P 0.378 0.577 0.720
34 P 0.865 0.240 0.618
35 W 0.092 0.318 0.277
36 W 0.908 0.682 0.723

Summary:
E   -6.861 eV per atom
Density of states at the Fermi level   0.000 states/eV/cell